# LiScSb2Te

LiScSb2Te after structural relaxation (PBE-GGA, Alexandria via LeMat-Bulk).

Lattice parameters (Å, degrees): 4.957 4.957 5.213 90.00 90.00 90.00
Sites, in units of the cell vectors:
Sc  0.500  0.500  0.500
Sb  0.000  0.500  0.000
Sb  0.500  0.000  0.000
Te  0.000  0.000  0.500
Li  0.000  0.000  0.000

Output
Space group: P4/mmm, No. 123
Distance to the lowest polymorph of the same formula, meV per atom: 188.2
V, Å³ per cell: 128.1
Density of states at the Fermi level, states/eV per cell: 4.6
Calculated density, g/cm3: 5.48

=====

# Li2YScSb

Li2YScSb after structural relaxation (PBE-GGA, Alexandria via LeMat-Bulk).

Lattice parameters (Å, degrees): 4.948 5.349 4.948 90.00 90.00 90.00
Sites, in units of the cell vectors:
Y  0.500  0.500  0.500
Sb  0.000  0.500  0.000
Sc  0.000  0.000  0.000
Li  0.000  0.000  0.500
Li  0.500  0.000  0.000

Output
Space group: P4/mmm, No. 123
V, Å³ per cell: 131.0
Density of states at the Fermi level, states/eV per cell: 5.2
Calculated density, g/cm3: 3.42

=====

E_form (uncorrected) (computed, eV/atom): 0.062 0.225